Record 1
AlTlCu2: relaxed, PBE-GGA.

Lattice parameters (Å, degrees): 4.5623 4.5623 3.2903 90.27 90.27 103.68
Last column: nearest neighbours and their distance in Å.
Fractional coordinates of all 4 atoms:
Al (0.0000, 0.0000, 0.0000)  8 Cu 2.81-2.82, 2 Tl 2.82
Tl (0.5000, 0.5000, 0.0000)  8 Cu 2.81-2.82, 2 Al 2.82
Cu (0.0000, 0.5000, 0.5000)  4 Tl 2.81-2.82, 4 Al 2.81-2.82, 2 Cu 2.82
Cu (0.5000, 0.0000, 0.5000)  4 Tl 2.81-2.82, 4 Al 2.81-2.82, 2 Cu 2.82

V (Å³/cell): 66.5
Space-group type: C2/m
Polymorph energy (0 for the lowest one) (meV/atom): 136
D(E_F) (states/eV/f.u.): 1.3
Formation energy from the elements (meV per atom): 242
E_tot (eV for the cell shown): -13.33

=====

Record 2
YMn2Cr: relaxed, PBE-GGA.

Lattice parameters (Å, degrees): 8.7529 8.7529 8.7529 20.09 20.09 20.09
Last column: nearest neighbours and their distance in Å.
Fractional coordinates of all 4 atoms:
Y (0.0000, 0.0000, 0.0000)  6 Y 3.05, 6 Mn 3.10
Mn (0.2341, 0.2341, 0.2341)  3 Cr 2.47
Mn (0.7659, 0.7659, 0.7659)  3 Cr 2.47
Cr (0.5000, 0.5000, 0.5000)  6 Mn 2.47

V (Å³/cell): 69.2
Space-group type: R-3m
Polymorph energy (0 for the lowest one) (meV/atom): 380
D(E_F) (states/eV/f.u.): 4.7
Formation energy from the elements (meV per atom): 578
E_tot (eV for the cell shown): -32.11

=====

Record 3
Na3CuSiCO7: relaxed, PBE-GGA.

Lattice parameters (Å, degrees): 5.3075 6.3520 9.2527 90.00 91.49 90.00
Last column: nearest neighbours and their distance in Å.
Fractional coordinates of all 26 atoms:
Na (0.2204, 0.2500, 0.1015)  4 O 2.30-2.40
Na (0.2510, 0.5043, 0.7361)  2 O 2.19-2.32
Na (0.2510, 0.9957, 0.7361)  2 O 2.19-2.32
Na (0.7490, 0.0043, 0.2639)  2 O 2.19-2.32
Na (0.7490, 0.4957, 0.2639)  2 O 2.19-2.32
Na (0.7796, 0.7500, 0.8985)  4 O 2.30-2.40
Cu (0.2356, 0.7500, 0.3501)  4 O 1.86-1.95
Cu (0.7644, 0.2500, 0.6499)  4 O 1.86-1.95
Si (0.3181, 0.2500, 0.4349)  4 O 1.60-1.68
Si (0.6819, 0.7500, 0.5651)  4 O 1.60-1.68
C (0.2930, 0.7500, 0.0549)  3 O 1.28-1.32
C (0.7070, 0.2500, 0.9451)  3 O 1.28-1.32
O (0.1104, 0.7500, 0.1499)  1 C 1.32
O (0.1699, 0.2500, 0.5828)  1 Si 1.60
O (0.2209, 0.7500, 0.9202)  1 C 1.29
O (0.2583, 0.0510, 0.3210)  1 Si 1.67
O (0.2583, 0.4490, 0.3210)  1 Si 1.67
O (0.3685, 0.7500, 0.5385)  1 Si 1.68, 1 Cu 1.86
O (0.4756, 0.2500, 0.9037)  1 C 1.28
O (0.5244, 0.7500, 0.0963)  1 C 1.28
O (0.6315, 0.2500, 0.4615)  1 Si 1.68, 1 Cu 1.86
O (0.7417, 0.5510, 0.6790)  1 Si 1.67
O (0.7417, 0.9490, 0.6790)  1 Si 1.67
O (0.7791, 0.2500, 0.0798)  1 C 1.29
O (0.8301, 0.7500, 0.4172)  1 Si 1.60
O (0.8896, 0.2500, 0.8501)  1 C 1.32

V (Å³/cell): 311.8
Space-group type: P2_1/m
ΔE_f (raw) (eV/atom): -1.710
D(E_F) (states/eV/f.u.): 3.6
E_tot (eV for the cell shown): -159.29

=====

Record 4
MoPbSe2: relaxed, PBE-GGA.

Lattice parameters (Å, degrees): 6.0672 6.0672 6.0672 147.66 123.32 66.79
Last column: nearest neighbours and their distance in Å.
Fractional coordinates of all 4 atoms:
Mo (0.0000, 0.0000, 0.0000)  4 Se 2.51
Pb (0.5000, 0.5000, 0.0000)  4 Mo 3.34, 2 Pb 3.38, 8 Se 3.43-3.62
Se (0.1837, 0.6837, 0.5000)  2 Mo 2.51
Se (0.8163, 0.3163, 0.5000)  2 Mo 2.51

V (Å³/cell): 98.6
Space-group type: Immm
ΔE_f (raw) (eV/atom): 0.051
D(E_F) (states/eV/f.u.): 3.4
E_tot (eV for the cell shown): -21.30

=====

Record 5
BaH3O3: relaxed, PBE-GGA.

Lattice parameters (Å, degrees): 5.5598 5.5598 5.5598 85.09 85.09 85.09
Last column: nearest neighbours and their distance in Å.
Fractional coordinates of all 14 atoms:
Ba (0.2462, 0.2462, 0.2462)  3 H 2.81, 9 O 2.88-2.96
Ba (0.7538, 0.7538, 0.7538)  3 H 2.81, 9 O 2.88-2.96
H (0.2380, 0.5578, 0.7263)  1 O 1.00
H (0.2737, 0.7620, 0.4422)  1 O 1.00
H (0.4422, 0.2737, 0.7620)  1 O 1.00
H (0.5578, 0.7263, 0.2380)  1 O 1.00
H (0.7263, 0.2380, 0.5578)  1 O 1.00
H (0.7620, 0.4422, 0.2737)  1 O 1.00
O (0.1621, 0.3995, 0.7357)  1 H 1.00
O (0.2643, 0.8379, 0.6005)  1 H 1.00
O (0.3995, 0.7357, 0.1621)  1 H 1.00
O (0.6005, 0.2643, 0.8379)  1 H 1.00
O (0.7357, 0.1621, 0.3995)  1 H 1.00
O (0.8379, 0.6005, 0.2643)  1 H 1.00

V (Å³/cell): 170.1
Space-group type: R-3
D(E_F) (states/eV/f.u.): 2.3
E_tot (eV for the cell shown): -71.72

=====

Record 6
SrAs12Ir4: relaxed, PBE-GGA.

Lattice parameters (Å, degrees): 7.5348 7.5348 7.5348 109.47 109.47 109.47
Last column: nearest neighbours and their distance in Å.
Fractional coordinates of all 17 atoms:
Sr (0.0000, 0.0000, 0.0000)  12 As 3.29
As (0.1478, 0.4961, 0.3483)  2 Ir 2.50, 2 As 2.57-2.64
As (0.1478, 0.7995, 0.6517)  2 Ir 2.50, 2 As 2.57-2.64
As (0.2005, 0.3483, 0.8522)  2 Ir 2.50, 2 As 2.57-2.64
As (0.3483, 0.1478, 0.4961)  2 Ir 2.50, 2 As 2.57-2.64
As (0.3483, 0.8522, 0.2005)  2 Ir 2.50, 2 As 2.57-2.64
As (0.4961, 0.3483, 0.1478)  2 Ir 2.50, 2 As 2.57-2.64
As (0.5039, 0.6517, 0.8522)  2 Ir 2.50, 2 As 2.57-2.64
As (0.6517, 0.1478, 0.7995)  2 Ir 2.50, 2 As 2.57-2.64
As (0.6517, 0.8522, 0.5039)  2 Ir 2.50, 2 As 2.57-2.64
As (0.7995, 0.6517, 0.1478)  2 Ir 2.50, 2 As 2.57-2.64
As (0.8522, 0.2005, 0.3483)  2 Ir 2.50, 2 As 2.57-2.64
As (0.8522, 0.5039, 0.6517)  2 Ir 2.50, 2 As 2.57-2.64
Ir (0.0000, 0.0000, 0.5000)  6 As 2.50
Ir (0.0000, 0.5000, 0.0000)  6 As 2.50
Ir (0.5000, 0.0000, 0.0000)  6 As 2.50
Ir (0.5000, 0.5000, 0.5000)  6 As 2.50

V (Å³/cell): 329.3
Space-group type: Im-3
D(E_F) (states/eV/f.u.): 4.9
Formation energy from the elements (meV per atom): -471
E_tot (eV for the cell shown): -100.92

=====

Record 7
CeScPt2: relaxed, PBE-GGA.

Lattice parameters (Å, degrees): 5.7522 4.5016 6.9803 90.00 111.73 90.00
Last column: nearest neighbours and their distance in Å.
Fractional coordinates of all 8 atoms:
Ce (0.1781, 0.2500, 0.3884)  7 Pt 2.94-3.28
Ce (0.8219, 0.7500, 0.6116)  7 Pt 2.94-3.28
Sc (0.3733, 0.7500, 0.0982)  7 Pt 2.73-2.97
Sc (0.6267, 0.2500, 0.9018)  7 Pt 2.73-2.97
Pt (0.1095, 0.2500, 0.9003)  4 Sc 2.78-2.97, 2 Ce 3.07
Pt (0.3634, 0.7500, 0.7046)  3 Sc 2.73-2.78, 2 Ce 2.94
Pt (0.6366, 0.2500, 0.2954)  3 Sc 2.73-2.78, 2 Ce 2.94
Pt (0.8905, 0.7500, 0.0997)  4 Sc 2.78-2.97, 2 Ce 3.07

V (Å³/cell): 167.9
Space-group type: P2_1/m
D(E_F) (states/eV/f.u.): 6.0
Formation energy from the elements (meV per atom): -1120
E_tot (eV for the cell shown): -57.66

=====

Record 8
ReRuSeBr2: relaxed, PBE-GGA.

Lattice parameters (Å, degrees): 5.1449 5.1449 4.7694 90.00 90.00 90.00
Last column: nearest neighbours and their distance in Å.
Fractional coordinates of all 5 atoms:
Re (0.0000, 0.0000, 0.0000)  8 Br 3.51, 4 Se 3.64
Ru (0.5000, 0.5000, 0.5000)  2 Se 2.38, 4 Br 2.57
Se (0.5000, 0.5000, 0.0000)  2 Ru 2.38
Br (0.0000, 0.5000, 0.5000)  2 Ru 2.57
Br (0.5000, 0.0000, 0.5000)  2 Ru 2.57

V (Å³/cell): 126.2
Space-group type: P4/mmm
Polymorph energy (0 for the lowest one) (meV/atom): 43
ΔE_f (raw) (eV/atom): 1.271
D(E_F) (states/eV/f.u.): 3.5
E_tot (eV for the cell shown): -22.20

=====

> Look up the D(E_F) of the fifth one.

2.3 states/eV/f.u.